The following is a DFT calculation (PBE+U) of a relaxed Rb2SiNiF6 crystal.

```
Rb2SiNiF6
1.0
-3.284 3.284 4.100
3.284 -3.284 4.100
3.284 3.284 -4.100
Rb Si Ni F
2 1 1 6
direct
0.250 0.750 0.500
0.750 0.250 0.500
0.000 0.000 0.000
0.500 0.500 0.000
0.185 0.185 0.371
0.185 0.815 0.000
0.212 0.212 0.000
0.788 0.788 0.000
0.815 0.185 0.000
0.815 0.815 0.629
```

Computed properties:
DFT total energy ... -45.43 eV for the cell shown
Crystal system ... tetragonal
Fermi-level density of states ... 0.34 states/eV per atom